## In2MoPt (PBE)

Data for a geometry-optimized In2MoPt structure.

Cell: 2.9207 4.6708 5.6758 Å, 90.00 104.71 90.00°
Atoms (fractional coordinates):
In1 0.0000 0.0000 0.0000
In2 0.3568 0.5000 0.7189
Mo1 0.6184 0.5000 0.2405
Pt1 0.2381 0.0000 0.4859

For the formation energy from the elements, the calculation gives 0.1783 eV/atom. The theoretical density comes out at 11.5 Mg/m³. The value obtained for the distance to the lowest polymorph of the same formula is 0.194 eV/atom. The crystal system is monoclinic.

## K2CdIn (PBE)

Data for a geometry-optimized K2CdIn structure.

Cell: 4.0598 4.1194 9.9377 Å, 90.00 90.00 90.00°
Atoms (fractional coordinates):
K1 0.0000 0.0000 0.0000
K2 0.5000 0.5000 0.3878
Cd1 0.0000 0.0000 0.6313
In1 0.5000 0.5000 0.7539

For the formation energy from the elements, the calculation gives -0.0249 eV/atom. The theoretical density comes out at 3.1 Mg/m³. The crystal system is orthorhombic.

## Te2PbSe (PBE)

Data for a geometry-optimized Te2PbSe structure.

Cell: 9.3908 9.3908 9.3908 Å, 27.52 27.52 27.52°
Atoms (fractional coordinates):
Te1 0.0975 0.0975 0.0975
Te2 0.9025 0.9025 0.9025
Pb1 0.5000 0.5000 0.5000
Se1 0.0000 0.0000 0.0000

The calculation puts the uncorrected formation energy at 110 meV per atom. The theoretical density comes out at 5.8 Mg/m³. The crystal system is trigonal.

## As2WBr (PBE)

Data for a geometry-optimized As2WBr structure.

Cell: 3.4796 3.4796 8.5896 Å, 100.98 100.98 60.09°
Atoms (fractional coordinates):
As1 0.1063 0.1063 0.3090
As2 0.8937 0.8937 0.6910
W1 0.5000 0.5000 0.5000
Br1 0.0000 0.0000 0.0000

The calculation puts the uncorrected formation energy at 111 meV per atom. The theoretical density comes out at 7.8 Mg/m³. The value obtained for the distance to the lowest polymorph of the same formula is 0.027 eV/atom. The crystal system is monoclinic.

## La2YRu (PBE)

Data for a geometry-optimized La2YRu structure.

Cell: 3.5741 3.5741 9.8776 Å, 90.00 90.00 103.89°
Atoms (fractional coordinates):
La1 0.0000 0.0000 0.1783
La2 0.0000 0.0000 0.8217
Y1 0.5000 0.5000 0.5000
Ru1 0.5000 0.5000 0.0000

For the formation energy from the elements, the calculation gives -0.0351 eV/atom. The theoretical density comes out at 6.3 Mg/m³. The value obtained for the distance to the lowest polymorph of the same formula is 0.207 eV/atom. The crystal system is orthorhombic.

## BeTeRu2 (PBE)

Data for a geometry-optimized BeTeRu2 structure.

Cell: 4.4395 4.4395 4.8030 Å, 111.91 111.91 42.41°
Atoms (fractional coordinates):
Be1 0.0000 0.0000 0.0000
Te1 0.5000 0.5000 0.5000
Ru1 0.2886 0.2886 0.7883
Ru2 0.7114 0.7114 0.2117

The calculation puts the uncorrected formation energy at 183 meV per atom. The theoretical density comes out at 9.6 Mg/m³. The value obtained for the distance to the lowest polymorph of the same formula is 0.152 eV/atom. The crystal system is monoclinic.

## Al3IBr (PBE)

Data for a geometry-optimized Al3IBr structure.

Cell: 6.0853 6.0853 6.0853 Å, 90.00 90.00 90.00°
Atoms (fractional coordinates):
Al1 0.0000 0.0000 0.5000
Al2 0.0000 0.5000 0.0000
Al3 0.5000 0.0000 0.0000
I1 0.0000 0.0000 0.0000
Br1 0.5000 0.5000 0.5000

The calculation puts the uncorrected formation energy at 775 meV per atom. The theoretical density comes out at 2.1 Mg/m³. The value obtained for the distance to the lowest polymorph of the same formula is 0.194 eV/atom. The crystal system is cubic.

## CaHg8 (PBE)

Data for a geometry-optimized CaHg8 structure.

Cell: 7.4883 7.4883 7.4883 Å, 95.50 95.50 143.92°
Atoms (fractional coordinates):
Ca1 0.0000 0.0000 0.0000
Hg1 0.0000 0.3337 0.3337
Hg2 0.0000 0.6663 0.6663
Hg3 0.3332 0.3332 0.6664
Hg4 0.3332 0.6668 0.0000
Hg5 0.3337 0.0000 0.3337
Hg6 0.6663 0.0000 0.6663
Hg7 0.6668 0.3332 0.0000
Hg8 0.6668 0.6668 0.3336

For the formation energy from the elements, the calculation gives -0.1718 eV/atom. The theoretical density comes out at 11.6 Mg/m³. The crystal system is tetragonal.

Q: The highest theoretical density belongs to which entry?
A: CaHg8

Q: Which value of theoretical density does entry 5 give?
A: 6.3 Mg/m³

Q: Among the records above, which one has the lowest theoretical density?
A: Al3IBr

Q: Number 8 is which compound?
A: CaHg8